(1)
! ZnIn2Hg, single point on PBEsol structure, DFT SCAN; values from VASP
&SYSTEM
  ibrav = 0, nat = 4, ntyp = 3
/
ATOMIC_SPECIES
Zn 65.41 Zn.upf
In 114.82 In.upf
Hg 200.59 Hg.upf
CELL_PARAMETERS angstrom
4.316 -1.710 0.000
4.316 1.710 0.000
-1.334 0.000 6.009
ATOMIC_POSITIONS angstrom
Zn 0.000 0.000 0.000
In 1.177 0.000 4.623
In 6.120 0.000 1.386
Hg 3.649 0.000 3.005
! **Density**: 9.28 Mg/m³
! **M_tot**: 0.0 Bohr magnetons per cell
! **Energy above the most stable polymorph in this dataset**: 0.03 eV/f.u.
! **Final energy**: -37.04 eV per atom
! **Symmetry**: No. 12

=====

(2)
! ZnIn2Hg, single point on PBEsol structure, DFT SCAN; values from VASP
&SYSTEM
  ibrav = 0, nat = 4, ntyp = 3
/
ATOMIC_SPECIES
Zn 65.41 Zn.upf
In 114.82 In.upf
Hg 200.59 Hg.upf
CELL_PARAMETERS angstrom
1.729 0.999 8.510
-1.729 0.999 8.510
0.000 -1.997 8.510
ATOMIC_POSITIONS angstrom
Zn 0.000 0.000 0.000
In 0.000 0.000 6.513
In 0.000 0.000 19.017
Hg 0.000 0.000 12.765
! **Density**: 9.33 Mg/m³
! **M_tot**: 0.0 Bohr magnetons per cell
! **Energy above the most stable polymorph in this dataset**: 0.00 eV/f.u.
! **Final energy**: -37.04 eV per atom
! **Symmetry**: No. 166

=====

(3)
! ZnIn2Hg, single point on PBEsol structure, DFT SCAN; values from VASP
&SYSTEM
  ibrav = 0, nat = 4, ntyp = 3
/
ATOMIC_SPECIES
Zn 65.41 Zn.upf
In 114.82 In.upf
Hg 200.59 Hg.upf
CELL_PARAMETERS angstrom
2.115 -2.528 0.000
2.115 2.528 0.000
0.000 0.000 8.217
ATOMIC_POSITIONS angstrom
Zn 0.000 0.000 0.000
In 2.115 0.000 1.875
In 2.115 0.000 6.342
Hg 0.000 0.000 4.108
! **Density**: 9.37 Mg/m³
! **M_tot**: 0.0 Bohr magnetons per cell
! **Energy above the most stable polymorph in this dataset**: 0.17 eV/f.u.
! **Final energy**: -37.00 eV per atom
! **Symmetry**: No. 65

=====

(4)
! ZnIn2Hg, single point on PBEsol structure, DFT SCAN; values from VASP
&SYSTEM
  ibrav = 0, nat = 4, ntyp = 3
/
ATOMIC_SPECIES
Zn 65.41 Zn.upf
In 114.82 In.upf
Hg 200.59 Hg.upf
CELL_PARAMETERS angstrom
3.533 0.000 0.000
0.000 3.533 0.000
0.000 0.000 7.099
ATOMIC_POSITIONS angstrom
Zn 0.000 0.000 0.000
In 0.000 0.000 3.388
In 1.767 1.767 5.453
Hg 1.767 1.767 1.471
! **Density**: 9.29 Mg/m³
! **M_tot**: 0.0 Bohr magnetons per cell
! **Energy above the most stable polymorph in this dataset**: 0.28 eV/f.u.
! **Final energy**: -36.98 eV per atom
! **Symmetry**: No. 99